Here is LaPrY5Er2 after structural relaxation from the Alexandria database. Energies are from PBE.

M_tot in Bohr magnetons per cell: 0.01
Uncorrected energy in eV/cell: -195.21
ΔE_f in kJ per mole of atoms: 25.2

Cell: 8.7028 8.7028 15.8148 Å, 90.00 90.00 90.00°
Closest atoms and distances in Å follow each position.
Space group I4/mcm (No. 140)
One atom of each set of equivalent atoms:
La 0.0000 0.0000 0.2500 x4  10 Y 3.65-3.95
Pr 0.0000 0.5000 0.2500 x4  4 Y 3.08
Y 0.0000 0.0000 0.0000 x4  4 Er 3.48, 8 Y 3.77
Y 0.1991 0.3009 0.1318 x16  1 Er 3.06, 1 Pr 3.08
Er 0.1187 0.3813 0.5000 x8  1 Er 2.92, 2 Y 3.06